## LiTb2TlO (PBE)

Data for a relaxed structure of LiTb2TlO.

Computed properties:
Theoretical density ... 9.054 g/cm³
Fermi-level density of states ... 0.28 states/eV per atom
Formation energy without anion corrections ... -1.383 eV per atom

Cell: 4.8088 4.8088 4.3242 Å, 90.00 90.00 90.00°
Closest atoms and distances in Å follow each position.
Space group P4/mmm (No. 123)
One atom of each set of equivalent atoms:
Li: 0.0000 0.0000 0.0000 [1 per cell]  2 O 2.16
Tb: 0.0000 0.5000 0.5000 [2 per cell]  2 O 2.40
Tl: 0.5000 0.5000 0.0000 [1 per cell]  8 Tb 3.23, 4 Li 3.40
O: 0.0000 0.0000 0.5000 [1 per cell]  2 Li 2.16, 4 Tb 2.40